[1]
Material: TlBiPb6
Method: DFT, GGA-PBE
State: relaxed

```
TlBiPb6
1.0
6.541 0.505 0.571
-0.213 6.557 0.571
-0.213 -0.237 6.577
Tl Bi Pb
1 1 6
Direct
0.000 0.000 0.000 Tl
0.500 0.500 0.500 Bi
0.163 0.547 0.163 Pb
0.163 0.163 0.547 Pb
0.837 0.453 0.837 Pb
0.453 0.837 0.837 Pb
0.837 0.837 0.453 Pb
0.547 0.163 0.163 Pb
```

Values from the calculation:
Its symmetry is R-3m, No. 166. The energy of formation from the pure elements comes out at 0.19 eV per atom.

***

[2]
Material: CdMo2Os
Method: DFT, GGA-PBE
State: relaxed

```
CdMo2Os
1.0
4.785 0.000 0.000
0.000 4.785 0.000
0.000 0.000 2.864
Cd Mo Os
1 2 1
Direct
0.000 0.500 0.500 Cd
0.000 0.000 0.000 Mo
0.500 0.500 0.000 Mo
0.500 0.000 0.500 Os
```

Values from the calculation:
Its symmetry is P4/mmm, No. 123. The energy of formation from the pure elements comes out at 0.63 eV per atom.

***

[3]
Material: HoBe2Cl8
Method: DFT, GGA-PBE
State: relaxed

```
HoBe2Cl8
1.0
6.020 0.311 0.236
0.401 7.819 0.521
0.401 2.608 7.390
Ho Be Cl
1 2 8
Direct
0.000 0.000 0.000 Ho
0.648 0.828 0.828 Be
0.352 0.172 0.172 Be
0.240 0.290 0.908 Cl
0.760 0.092 0.710 Cl
0.308 0.836 0.836 Cl
0.692 0.164 0.164 Cl
0.240 0.908 0.290 Cl
0.760 0.710 0.092 Cl
0.775 0.682 0.682 Cl
0.225 0.318 0.318 Cl
```

Values from the calculation:
Its symmetry is C2/m, No. 12. The uncorrected formation energy is -1.48 eV/atom.

***

[4]
Material: Ac12Tl5In2
Method: DFT, GGA-PBE
State: relaxed

```
Ac12Tl5In2
1.0
8.559 0.000 0.000
-4.279 8.665 1.597
0.000 -1.277 10.045
Ac Tl In
12 5 2
Direct
0.951 0.903 0.180 Ac
0.050 0.655 0.872 Ac
0.605 0.655 0.872 Ac
0.115 0.711 0.458 Ac
0.596 0.711 0.458 Ac
0.473 0.945 0.696 Ac
0.527 0.055 0.304 Ac
0.885 0.289 0.542 Ac
0.404 0.289 0.542 Ac
0.950 0.345 0.128 Ac
0.395 0.345 0.128 Ac
0.049 0.097 0.820 Ac
0.255 0.509 0.693 Tl
0.346 0.691 0.156 Tl
0.000 0.000 0.500 Tl
0.654 0.309 0.844 Tl
0.745 0.491 0.307 Tl
0.675 0.000 0.000 In
0.325 0.000 0.000 In
```

Values from the calculation:
Its symmetry is C2/m, No. 12. The energy of formation from the pure elements comes out at -0.12 eV per atom.

***

[5]
Material: Zr2CdBr
Method: DFT, GGA-PBE
State: relaxed

```
Zr2CdBr
1.0
4.599 0.000 0.000
0.000 4.445 0.000
0.000 0.000 4.445
Br Zr Cd
1 2 1
Direct
0.500 0.500 0.000 Br
0.000 0.000 0.000 Zr
0.000 0.500 0.500 Zr
0.500 0.000 0.500 Cd
```

Values from the calculation:
Its symmetry is P4/mmm, No. 123. The uncorrected formation energy is 0.18 eV/atom.

***

[6]
Material: Sr2LiLaO
Method: DFT, GGA-PBE
State: relaxed

```
Sr2LiLaO
1.0
5.752 0.000 0.000
0.000 5.752 0.000
0.000 0.000 4.697
Sr Li O La
2 1 1 1
Direct
0.000 0.500 0.000 Sr
0.500 0.000 0.000 Sr
0.500 0.500 0.500 Li
0.000 0.000 0.000 O
0.000 0.000 0.500 La
```

Values from the calculation:
Its symmetry is P4/mmm, No. 123. The uncorrected formation energy is -0.99 eV/atom.

***

[7]
Material: IrPb4Br
Method: DFT, GGA-PBE
State: relaxed

```
IrPb4Br
1.0
0.000 4.447 4.447
4.447 0.000 4.447
4.447 4.447 0.000
Ir Pb Br
1 4 1
Direct
0.000 0.000 0.000 Ir
0.878 0.374 0.374 Pb
0.374 0.374 0.878 Pb
0.374 0.878 0.374 Pb
0.374 0.374 0.374 Pb
0.750 0.750 0.750 Br
```

Values from the calculation:
Its symmetry is F-43m, No. 216. The uncorrected formation energy is 0.73 eV/atom.

***

[8]
Material: Ca3AcNi3
Method: DFT, GGA-PBE
State: relaxed

```
Ca3AcNi3
1.0
-3.706 0.493 6.331
-6.773 -2.812 0.523
-0.571 -7.396 4.511
Ca Ac Ni
6 2 6
Direct
0.408 0.905 0.781 Ca
0.905 0.905 0.781 Ca
0.905 0.408 0.781 Ca
0.095 0.592 0.219 Ca
0.095 0.095 0.219 Ca
0.592 0.095 0.219 Ca
0.574 0.574 0.277 Ac
0.426 0.426 0.723 Ac
0.285 0.285 0.501 Ni
0.929 0.285 0.501 Ni
0.285 0.929 0.501 Ni
0.715 0.071 0.499 Ni
0.071 0.715 0.499 Ni
0.715 0.715 0.499 Ni
```

Values from the calculation:
Its symmetry is R-3m, No. 166. The energy of formation from the pure elements comes out at -0.08 eV per atom.

***

[9]
Material: Gd2NbCu
Method: DFT, GGA-PBE
State: relaxed

```
Gd2NbCu
1.0
-0.535 -0.985 3.110
1.842 -2.692 -0.536
6.763 4.137 2.474
Nb Gd Cu
1 2 1
Direct
0.500 0.500 0.500 Nb
0.000 0.000 0.769 Gd
0.000 0.000 0.231 Gd
0.500 0.500 0.000 Cu
```

Values from the calculation:
Its symmetry is P4/mmm, No. 123. The energy of formation from the pure elements comes out at 0.11 eV per atom.

***

[10]
Material: SrCuNi3
Method: DFT, GGA-PBE
State: relaxed

```
SrCuNi3
1.0
4.478 0.000 0.000
0.000 4.478 0.000
0.000 0.000 4.478
Sr Cu Ni
1 1 3
Direct
0.500 0.500 0.500 Sr
0.000 0.000 0.000 Cu
0.000 0.500 0.000 Ni
0.000 0.000 0.500 Ni
0.500 0.000 0.000 Ni
```

Values from the calculation:
Its symmetry is Pm-3m, No. 221. The energy of formation from the pure elements comes out at 0.47 eV per atom.

***

[11]
Material: HfTiRe2
Method: DFT, GGA-PBE
State: relaxed

```
HfTiRe2
1.0
3.207 0.000 0.000
0.000 4.520 0.000
0.000 0.000 4.520
Re Hf Ti
2 1 1
Direct
0.000 0.000 0.500 Re
0.000 0.500 0.000 Re
0.500 0.500 0.500 Hf
0.500 0.000 0.000 Ti
```

Values from the calculation:
Its symmetry is P4/mmm, No. 123. The energy of formation from the pure elements comes out at -0.32 eV per atom.

***

[12]
Material: KTc4Cl
Method: DFT, GGA-PBE
State: relaxed

```
KTc4Cl
1.0
4.708 -2.569 -0.043
0.290 -5.037 -1.822
2.451 -1.030 -4.659
K Tc Cl
1 4 1
Direct
0.000 0.000 0.000 K
0.870 0.377 0.377 Tc
0.377 0.377 0.870 Tc
0.377 0.870 0.377 Tc
0.377 0.377 0.377 Tc
0.750 0.750 0.750 Cl
```

Values from the calculation:
Its symmetry is F-43m, No. 216. The uncorrected formation energy is 1.22 eV/atom.

***

[13]
Material: CaMo2Cl
Method: DFT, GGA-PBE
State: relaxed

```
CaMo2Cl
1.0
-2.497 0.240 1.854
3.263 -0.457 4.454
0.575 5.153 0.108
Mo Ca Cl
2 1 1
Direct
0.000 0.000 0.042 Mo
0.000 0.000 0.458 Mo
0.500 0.500 0.250 Ca
0.500 0.500 0.750 Cl
```

Values from the calculation:
Its symmetry is Pmmm, No. 47. The uncorrected formation energy is 0.60 eV/atom.

***

[14]
Material: Rb2LaRuCl6
Method: DFT, GGA-PBE
State: relaxed

```
Rb2LaRuCl6
1.0
-1.210 -3.226 6.437
7.168 -1.152 0.771
3.499 2.776 6.189
Ru Cl Rb La
1 6 2 1
Direct
0.500 0.500 0.000 Ru
0.248 0.248 0.505 Cl
0.752 0.752 0.495 Cl
0.267 0.267 0.000 Cl
0.733 0.733 0.000 Cl
0.733 0.267 0.000 Cl
0.267 0.733 0.000 Cl
0.750 0.250 0.500 Rb
0.250 0.750 0.500 Rb
0.000 0.000 0.000 La
```

Values from the calculation:
Its symmetry is I4/mmm, No. 139. The uncorrected formation energy is -1.52 eV/atom.

***

[15]
Material: NaU5S6
Method: DFT, GGA-PBE
State: relaxed

```
NaU5S6
1.0
6.632 0.180 1.018
1.649 5.632 3.286
0.115 0.040 6.757
Na S U
1 6 5
Direct
0.000 0.000 0.000 Na
0.751 0.083 0.333 S
0.249 0.584 0.333 S
0.248 0.250 0.000 S
0.752 0.750 0.000 S
0.751 0.416 0.667 S
0.249 0.917 0.667 S
0.500 0.166 0.668 U
0.000 0.333 0.333 U
0.500 0.500 0.000 U
0.000 0.667 0.667 U
0.500 0.834 0.332 U
```

Values from the calculation:
Its symmetry is C2/m, No. 12. The uncorrected formation energy is -1.33 eV/atom.

***

[16]
Material: YSbPt2
Method: DFT, GGA-PBE
State: relaxed

```
YSbPt2
1.0
3.814 0.000 0.000
0.000 3.814 0.000
0.000 0.000 5.947
Pt Sb Y
2 1 1
Direct
0.000 0.000 0.974 Pt
0.500 0.500 0.306 Pt
0.000 0.000 0.423 Sb
0.500 0.500 0.797 Y
```

Values from the calculation:
Its symmetry is P4mm, No. 99. The uncorrected formation energy is -0.73 eV/atom.

***

[17]
Material: ThGe2Au3
Method: DFT, GGA-PBE
State: relaxed

```
ThGe2Au3
1.0
-1.723 -3.529 -2.179
3.989 -3.423 7.017
-9.084 2.051 3.861
Th Ge Au
3 6 9
Direct
0.177 0.355 0.705 Th
0.823 0.645 0.295 Th
0.000 0.000 0.000 Th
0.188 0.376 0.088 Ge
0.812 0.624 0.912 Ge
0.481 0.962 0.217 Ge
0.519 0.038 0.783 Ge
0.339 0.678 0.514 Ge
0.661 0.322 0.486 Ge
0.007 0.014 0.336 Au
0.993 0.986 0.664 Au
0.185 0.369 0.369 Au
0.815 0.631 0.631 Au
0.631 0.262 0.188 Au
0.369 0.738 0.812 Au
0.500 0.000 0.500 Au
0.339 0.678 0.086 Au
0.661 0.322 0.914 Au
```

Values from the calculation:
Its symmetry is C2/m, No. 12. The energy of formation from the pure elements comes out at -0.40 eV per atom.

***

[18]
Material: CsCu3Pd
Method: DFT, GGA-PBE
State: relaxed

```
CsCu3Pd
1.0
4.947 0.000 0.000
0.000 4.947 0.000
0.000 0.000 4.947
Cs Cu Pd
1 3 1
Direct
0.500 0.500 0.500 Cs
0.000 0.500 0.000 Cu
0.000 0.000 0.500 Cu
0.500 0.000 0.000 Cu
0.000 0.000 0.000 Pd
```

Values from the calculation:
Its symmetry is Pm-3m, No. 221. The energy of formation from the pure elements comes out at 0.53 eV per atom.

***

[19]
Material: La4CuI2Cl
Method: DFT, GGA-PBE
State: relaxed

```
La4CuI2Cl
1.0
4.210 0.000 0.000
0.000 7.208 0.033
0.000 -2.633 8.107
La Cu I Cl
4 1 2 1
Direct
0.500 0.234 0.202 La
0.500 0.766 0.798 La
0.000 0.273 0.795 La
0.000 0.727 0.205 La
0.000 0.000 0.000 Cu
0.500 0.000 0.500 I
0.000 0.500 0.500 I
0.500 0.500 0.000 Cl
```

Values from the calculation:
Its symmetry is P2/m, No. 10. The uncorrected formation energy is -0.95 eV/atom.

***

[20]
Material: YGe2Te2
Method: DFT, GGA-PBE
State: relaxed

```
YGe2Te2
1.0
7.815 0.000 0.000
0.000 7.815 0.000
0.000 0.000 4.159
Y Ge Te
2 4 4
Direct
0.000 0.000 0.000 Y
0.500 0.500 0.000 Y
0.373 0.873 0.000 Ge
0.873 0.627 0.000 Ge
0.627 0.127 0.000 Ge
0.127 0.373 0.000 Ge
0.199 0.699 0.500 Te
0.699 0.801 0.500 Te
0.801 0.301 0.500 Te
0.301 0.199 0.500 Te
```

Values from the calculation:
Its symmetry is P4/mbm, No. 127. The uncorrected formation energy is -0.34 eV/atom.